## 1
Here is a relaxed Pr2Nd2Cd crystal from Alexandria. Energies are from GGA-PBE.

The value obtained for the density of states at the Fermi level is 13.188 states/eV/cell.

The structure belongs to space group I4/mmm (No. 139); the cell edges are 3.7508, 3.7508 and 23.5961 Å and the angles 90.00°, 90.00° and 90.00°. The asymmetric unit holds Pr at (0.0000, 0.0000, 0.0879), Nd at (0.0000, 0.0000, 0.3039) and Cd at (0.0000, 0.0000, 0.5000).


## 2
Here is a relaxed Pr2Nd2Cd crystal from Alexandria. Energies are from GGA-PBE.

The value obtained for the density of states at the Fermi level is 22.033 states/eV/cell.

The structure belongs to space group C2/m (No. 12); the cell edges are 8.7704, 9.5011 and 8.6963 Å and the angles 90.00°, 115.20° and 90.00°. The asymmetric unit holds Pr at (0.1589, 0.0000, 0.4265), Pr at (0.2137, 0.5000, 0.1181), Nd at (0.0802, 0.3128, 0.7196) and Cd at (0.0000, 0.1566, 0.0000).


Which one sits at the bottom of the stability order? 2 does.


## 1
Here is a relaxed Pr6NdCd2 crystal from Alexandria. Energies are from GGA-PBE.

The value obtained for the density of states at the Fermi level is 19.125 states/eV/cell.

The structure belongs to space group C2/m (No. 12); the cell edges are 13.0993, 3.8821 and 12.4012 Å and the angles 90.00°, 108.56° and 90.00°. The asymmetric unit holds Pr at (0.0204, 0.0000, 0.3377), Pr at (0.1836, 0.5000, 0.8763), Pr at (0.1885, 0.5000, 0.5879), Nd at (0.0000, 0.0000, 0.0000) and Cd at (0.1460, 0.5000, 0.2037).


## 2
Here is a relaxed Pr6NdCd2 crystal from Alexandria. Energies are from GGA-PBE.

The value obtained for the density of states at the Fermi level is 46.525 states/eV/cell.

The structure belongs to space group C2/c (No. 15); the cell edges are 15.9581, 11.8313 and 6.2916 Å and the angles 90.00°, 96.36° and 90.00°. The asymmetric unit holds Pr at (0.0576, 0.1225, 0.0093), Pr at (0.1178, 0.3508, 0.3106), Pr at (0.2264, 0.3736, 0.8350), Nd at (0.0000, 0.3933, 0.7500) and Cd at (0.1638, 0.1253, 0.5937).


Which one sits at the bottom of the stability order? 2 does.


## 1
Here is a relaxed Pr3Nd6Cd crystal from Alexandria. Energies are from GGA-PBE.

The value obtained for the density of states at the Fermi level is 48.559 states/eV/cell.

The structure belongs to space group Cmc2_1 (No. 36); the cell edges are 13.0823, 16.1964 and 6.5657 Å and the angles 90.00°, 90.00° and 90.00°. The asymmetric unit holds Pr at (0.0000, 0.1455, 0.0000), Pr at (0.1958, 0.4081, 0.3444), Nd at (0.0000, 0.2482, 0.4958), Nd at (0.0000, 0.4546, 0.6740), Nd at (0.1232, 0.0518, 0.5001), Nd at (0.2145, 0.3027, 0.8074) and Cd at (0.0000, 0.3414, 0.0656).


## 2
Here is a relaxed Pr3Nd6Cd crystal from Alexandria. Energies are from GGA-PBE.

The value obtained for the density of states at the Fermi level is 30.363 states/eV/cell.

The structure belongs to space group P2_1/m (No. 11); the cell edges are 11.1756, 5.2577 and 11.6521 Å and the angles 90.00°, 93.20° and 90.00°. The asymmetric unit holds Pr at (0.0523, 0.2500, 0.4048), Pr at (0.1571, 0.7500, 0.2113), Pr at (0.2553, 0.2500, 0.0144), Nd at (0.0497, 0.7500, 0.8998), Nd at (0.1572, 0.2500, 0.7048), Nd at (0.2750, 0.7500, 0.5113), Nd at (0.3447, 0.7500, 0.8204), Nd at (0.3713, 0.2500, 0.3218), Nd at (0.4577, 0.7500, 0.1137) and Cd at (0.4426, 0.2500, 0.6115).


Which one sits at the bottom of the stability order? 1 does.


## 1
Here is a relaxed Pr3NdCd crystal from Alexandria. Energies are from GGA-PBE.

The value obtained for the density of states at the Fermi level is 11.993 states/eV/cell.

The structure belongs to space group P-1 (No. 2); the cell edges are 3.8110, 8.9377 and 10.2310 Å and the angles 76.95°, 79.29° and 89.99°. The asymmetric unit holds Pr at (0.0030, 0.2834, 0.4931), Pr at (0.1879, 0.3752, 0.1259), Pr at (0.2025, 0.8301, 0.0955), Nd at (0.4040, 0.9622, 0.6903) and Cd at (0.3984, 0.4296, 0.7027).


## 2
Here is a relaxed Pr3NdCd crystal from Alexandria. Energies are from GGA-PBE.

The value obtained for the density of states at the Fermi level is 18.986 states/eV/cell.

The structure belongs to space group Cmcm (No. 63); the cell edges are 8.8819, 14.9079 and 5.3946 Å and the angles 90.00°, 90.00° and 90.00°. The asymmetric unit holds Pr at (0.0000, 0.0902, 0.2500), Pr at (0.2001, 0.3485, 0.2500), Nd at (0.0000, 0.4450, 0.7500) and Cd at (0.0000, 0.2449, 0.7500).


Which one sits at the bottom of the stability order? 2 does.